Material: CdCuGeW2
Method: DFT, PBE
State: optimized geometry

abc: 5.011 5.011 4.558
angles: 90.00 90.00 90.00
Space group P4/mmm (No. 123)
Inequivalent atoms, fractional coordinates:
Cd: 0.000 0.000 0.000 x1
Cu: 0.000 0.000 0.500 x1
Ge: 0.500 0.500 0.500 x1
W: 0.000 0.500 0.000 x2

Properties
**ΔH_f (0 K)**: 2456.2 meV/atom
**Magnetic moment**: 3.7 μB per cell
**E**: -23.254 eV/cell

Material: Zn2CdCuGe
Method: DFT, PBE
State: optimized geometry

abc: 4.738 4.738 5.402
angles: 90.00 90.00 90.00
Space group P4/mmm (No. 123)
Inequivalent atoms, fractional coordinates:
Zn: 0.000 0.500 0.000 x2
Cd: 0.000 0.000 0.500 x1
Cu: 0.500 0.500 0.500 x1
Ge: 0.000 0.000 0.000 x1

Properties
**ΔH_f (0 K)**: 637.5 meV/atom
**Magnetic moment**: 0.0 μB per cell
**E**: -8.989 eV/cell

Material: CdCu2H
Method: DFT, PBE
State: optimized geometry

abc: 2.8659 2.8659 20.0476
angles: 90.00 90.00 120.00
Space group R-3m (No. 166, hexagonal axes)
Inequivalent atoms, fractional coordinates:
Cd: 0.0000 0.0000 0.0000 x3
Cu: 0.0000 0.0000 0.2181 x6
H: 0.0000 0.0000 0.5000 x3

Properties
**Energy relative to the lowest polymorph listed for this composition**: 0.09 eV/f.u.
**Magnetic moment**: 0.0 μB per cell
**E**: -35.359 eV/cell

Material: CdCu2H
Method: DFT, PBE
State: optimized geometry

abc: 5.248 5.248 7.382
angles: 90.00 90.00 90.00
Space group I-42d (No. 122)
Inequivalent atoms, fractional coordinates:
Cd: 0.000 0.000 0.000 x4
Cu: 0.047 0.250 0.625 x8
H: 0.000 0.000 0.500 x4

Properties
**Energy relative to the lowest polymorph listed for this composition**: 0.00 eV/f.u.
**Magnetic moment**: 0.0 μB per cell
**E**: -47.525 eV/cell

Material: Cd2CuH2
Method: DFT, PBE
State: optimized geometry

abc: 3.097 3.097 13.419
angles: 90.00 90.00 90.00
Space group I4/mmm (No. 139)
Inequivalent atoms, fractional coordinates:
Cd: 0.000 0.000 0.135 x4
Cu: 0.000 0.000 0.500 x2
H: 0.000 0.500 0.250 x4

Properties
**Energy relative to the lowest polymorph listed for this composition**: 0.45 eV/f.u.
**Magnetic moment**: 0.0 μB per cell
**E**: -21.396 eV/cell

Material: CdCuH2
Method: DFT, PBE
State: optimized geometry

abc: 5.536 5.536 5.536
angles: 90.00 90.00 90.00
Space group Fm-3m (No. 225)
Inequivalent atoms, fractional coordinates:
Cd: 0.000 0.000 0.000 x4
Cu: 0.000 0.000 0.500 x4
H: 0.250 0.250 0.250 x8

Properties
**Energy relative to the lowest polymorph listed for this composition**: 1.59 eV/f.u.
**Magnetic moment**: 0.0 μB per cell
**E**: -35.465 eV/cell

> magnetic moment of number 6 (CdCuH2)?

0.0 μB per cell

> Look up the magnetic moment of the sixth one.

0.0 μB per cell

> Which value of magnetic moment does entry 4 give?

0.0 μB per cell